VASP calculation (PBE with a Hubbard U) on a relaxed Ca3WO crystal.

```
data_Ca3WO
_cell_length_a 4.930
_cell_length_b 4.930
_cell_length_c 4.930
_cell_angle_alpha 90.00
_cell_angle_beta 90.00
_cell_angle_gamma 90.00
_symmetry_space_group_name_H-M 'P 1'
_symmetry_Int_Tables_number 1
_symmetry_space_group_name_Hall 'P 1'
loop_
_atom_site_label
_atom_site_fract_x
_atom_site_fract_y
_atom_site_fract_z
Ca1 0.000 0.500 0.000
Ca2 0.000 0.000 0.500
Ca3 0.500 0.000 0.000
O1 0.000 0.000 0.000
W1 0.500 0.500 0.500
```

Values from the calculation:
SG   Pm-3m (221)
Total magnetization   4.58 μB per formula unit
Polymorph energy (0 for the lowest one)   0.00 eV/f.u.
DOS at the Fermi energy   3.045 states/eV per cell